Below is crystalline YSbOs2 at its relaxed geometry, with properties calculated at the PBE-GGA level.

As for the energy relative to the elements, uncorrected: 172 meV per atom. The value obtained for the density of states at the Fermi level is 0.8 states/eV per cell. Its total magnetization is 0.000 Bohr magnetons per cell.

Geometry as POSCAR:
```
YSbOs2
1.0
3.334 0.000 0.000
0.000 3.334 0.000
0.000 0.000 6.678
Y Sb Os
1 1 2
Cartesian
0.000 0.000 0.000 Y
0.000 0.000 3.339 Sb
1.667 1.667 1.823 Os
1.667 1.667 4.855 Os
```